Record 1
Pr4Br5N: optimized geometry, GGA-PBE.

## Properties
* total energy: -5.204 eV per atom

Unit cell a=18.282 b=3.923 c=8.421 alpha=90.00 beta=103.57 gamma=90.00
Space group C2/m (No. 12)
Inequivalent atoms, fractional coordinates:
Pr 0.001 0.000 0.297 (multiplicity 4)
Pr 0.139 0.500 0.574 (multiplicity 4)
Br 0.000 0.500 0.000 (multiplicity 2)
Br 0.164 0.000 0.847 (multiplicity 4)
Br 0.171 0.000 0.324 (multiplicity 4)
N 0.000 0.500 0.500 (multiplicity 2)

=====

Record 2
BaSr3Pt: optimized geometry, GGA-PBE.

## Properties
* total energy: -3.047 eV per atom
* energy relative to the lowest polymorph listed for this composition: 2 meV per atom

Unit cell a=8.584 b=15.110 c=7.128 alpha=90.00 beta=90.00 gamma=90.00
Space group Cmc2_1 (No. 36)
Inequivalent atoms, fractional coordinates:
Ba 0.000 0.083 0.000 (multiplicity 4)
Sr 0.000 0.416 0.537 (multiplicity 4)
Sr 0.247 0.328 0.017 (multiplicity 8)
Pt 0.000 0.251 0.762 (multiplicity 4)

=====

Record 3
GaHg4Mo2: optimized geometry, GGA-PBE.

## Properties
* total energy: -2.846 eV per atom

Unit cell a=3.1630 b=3.1630 c=15.5649 alpha=90.00 beta=90.00 gamma=120.00
Space group P-3m1 (No. 164)
Inequivalent atoms, fractional coordinates:
Ga 0.0000 0.0000 0.0000 (multiplicity 1)
Hg 0.3333 0.6667 0.4293 (multiplicity 2)
Hg 0.3333 0.6667 0.8711 (multiplicity 2)
Mo 0.3333 0.6667 0.7053 (multiplicity 2)

=====

Record 4
Pd2PtAu: optimized geometry, GGA-PBE.

## Properties
* energy of formation from the pure elements: 46 meV per atom
* total energy: -4.872 eV per atom

Unit cell a=6.353 b=6.353 c=6.353 alpha=90.00 beta=90.00 gamma=90.00
Space group F-43m (No. 216)
Inequivalent atoms, fractional coordinates:
Pd 0.000 0.000 0.000 (multiplicity 4)
Pd 0.250 0.250 0.250 (multiplicity 4)
Pt 0.000 0.000 0.500 (multiplicity 4)
Au 0.250 0.250 0.750 (multiplicity 4)

=====

Calculated magnetic moment, 0.005, 0.006, 0.003, 0.005 μB per formula unit (same order as the records).